First-principles (GGA-PBE) data for TlS2N after structural relaxation, as listed in the Alexandria database.

Computed properties:
- Excess energy over the best structure of this formula in the dataset: 0.0 meV/atom
- Formation energy (no corrections): 459 meV per atom

CIF file:
```
data_TlS2N
_chemical_formula_sum 'Tl3 S6 N3'
_space_group_name_H-M_alt 'R -3 m'
_space_group_IT_number 166
_space_group_name_Hall '-R 3 2"'
_cell_length_a 3.7429
_cell_length_b 3.7429
_cell_length_c 23.5288
_cell_angle_alpha 90.00
_cell_angle_beta 90.00
_cell_angle_gamma 120.00
loop_
_atom_site_label
_atom_site_fract_x
_atom_site_fract_y
_atom_site_fract_z
_atom_site_occupancy
Tl1 0.0000 0.0000 0.0000 1
S1 0.0000 0.0000 0.4344 1
N1 0.0000 0.0000 0.5000 1
```

=====

First-principles (GGA-PBE) data for GdHo3B after structural relaxation, as listed in the Alexandria database.

Computed properties:
- ΔH_f (0 K): 0.0523 eV/atom

CIF file:
```
data_GdHo3B
_chemical_formula_sum 'Gd1 Ho3 B1'
_space_group_name_H-M_alt 'P m -3 m'
_space_group_IT_number 221
_space_group_name_Hall '-P 4 2 3'
_cell_length_a 5.1385
_cell_length_b 5.1385
_cell_length_c 5.1385
_cell_angle_alpha 90.00
_cell_angle_beta 90.00
_cell_angle_gamma 90.00
loop_
_atom_site_label
_atom_site_fract_x
_atom_site_fract_y
_atom_site_fract_z
_atom_site_occupancy
Gd1 0.0000 0.0000 0.0000 1
Ho1 0.0000 0.5000 0.5000 1
B1 0.5000 0.5000 0.5000 1
```

=====

First-principles (GGA-PBE) data for Ho2MgCu12Ni3 after structural relaxation, as listed in the Alexandria database.

Computed properties:
- ΔH_f (0 K): 0.0185 eV/atom

CIF file:
```
data_Ho2MgCu12Ni3
_chemical_formula_sum 'Ho6 Mg3 Cu36 Ni9'
_space_group_name_H-M_alt 'R -3 m'
_space_group_IT_number 166
_space_group_name_Hall '-R 3 2"'
_cell_length_a 8.4631
_cell_length_b 8.4631
_cell_length_c 12.3080
_cell_angle_alpha 90.00
_cell_angle_beta 90.00
_cell_angle_gamma 120.00
loop_
_atom_site_label
_atom_site_fract_x
_atom_site_fract_y
_atom_site_fract_z
_atom_site_occupancy
Ho1 0.0000 0.0000 0.2395 1
Mg1 0.0000 0.0000 0.5000 1
Cu1 0.0067 0.5034 0.2050 1
Cu2 0.0416 0.5208 0.6018 1
Ni1 0.0000 0.5000 0.0000 1
```

=====

First-principles (GGA-PBE) data for Tl2SbBr after structural relaxation, as listed in the Alexandria database.

Computed properties:
- Excess energy over the best structure of this formula in the dataset: 182.5 meV/atom
- Formation energy (no corrections): -87 meV per atom

CIF file:
```
data_Tl2SbBr
_chemical_formula_sum 'Tl8 Sb4 Br4'
_space_group_name_H-M_alt 'I -4 2 d'
_space_group_IT_number 122
_space_group_name_Hall 'I -4 2bw'
_cell_length_a 6.8348
_cell_length_b 6.8348
_cell_length_c 15.6982
_cell_angle_alpha 90.00
_cell_angle_beta 90.00
_cell_angle_gamma 90.00
loop_
_atom_site_label
_atom_site_fract_x
_atom_site_fract_y
_atom_site_fract_z
_atom_site_occupancy
Tl1 0.2340 0.2500 0.1250 1
Sb1 0.0000 0.0000 0.0000 1
Br1 0.0000 0.0000 0.5000 1
```

=====

First-principles (GGA-PBE) data for CuPtCl4 after structural relaxation, as listed in the Alexandria database.

Computed properties:
- Formation energy (no corrections): -412 meV per atom

CIF file:
```
data_CuPtCl4
_chemical_formula_sum 'Cu2 Pt2 Cl8'
_space_group_name_H-M_alt 'P -1'
_space_group_IT_number 2
_space_group_name_Hall '-P 1'
_cell_length_a 4.2801
_cell_length_b 6.8142
_cell_length_c 12.2783
_cell_angle_alpha 74.65
_cell_angle_beta 89.97
_cell_angle_gamma 72.57
loop_
_atom_site_label
_atom_site_fract_x
_atom_site_fract_y
_atom_site_fract_z
_atom_site_occupancy
Cu1 0.0045 0.0004 0.2500 1
Pt1 0.5000 0.0000 0.0000 1
Pt2 0.5000 0.0000 0.5000 1
Cl1 0.1641 0.2161 0.3387 1
Cl2 0.1709 0.2130 0.6004 1
Cl3 0.3701 0.7840 0.1614 1
Cl4 0.3740 0.7869 0.8997 1
```

=====

First-principles (GGA-PBE) data for NaMg2Bi after structural relaxation, as listed in the Alexandria database.

Computed properties:
- Excess energy over the best structure of this formula in the dataset: 217.2 meV/atom
- ΔH_f (0 K): 0.0544 eV/atom

CIF file:
```
data_NaMg2Bi
_chemical_formula_sum 'Na4 Mg8 Bi4'
_space_group_name_H-M_alt 'I -4 2 d'
_space_group_IT_number 122
_space_group_name_Hall 'I -4 2bw'
_cell_length_a 4.7101
_cell_length_b 4.7101
_cell_length_c 21.0369
_cell_angle_alpha 90.00
_cell_angle_beta 90.00
_cell_angle_gamma 90.00
loop_
_atom_site_label
_atom_site_fract_x
_atom_site_fract_y
_atom_site_fract_z
_atom_site_occupancy
Na1 0.0000 0.0000 0.0000 1
Mg1 0.2364 0.2500 0.6250 1
Bi1 0.0000 0.0000 0.5000 1
```

=====

First-principles (GGA-PBE) data for Tb2Mo2C3 after structural relaxation, as listed in the Alexandria database.

Computed properties:
- ΔH_f (0 K): -0.3415 eV/atom

CIF file:
```
data_Tb2Mo2C3
_chemical_formula_sum 'Tb4 Mo4 C6'
_space_group_name_H-M_alt 'C 1 2/m 1'
_space_group_IT_number 12
_space_group_name_Hall '-C 2y'
_cell_length_a 11.8398
_cell_length_b 3.3626
_cell_length_c 5.7550
_cell_angle_alpha 90.00
_cell_angle_beta 112.92
_cell_angle_gamma 90.00
loop_
_atom_site_label
_atom_site_fract_x
_atom_site_fract_y
_atom_site_fract_z
_atom_site_occupancy
Tb1 0.1096 0.0000 0.3226 1
Mo1 0.1578 0.5000 0.8248 1
C1 0.0000 0.5000 0.5000 1
C2 0.2487 0.5000 0.2319 1
```

=====

First-principles (GGA-PBE) data for RbPb4S5 after structural relaxation, as listed in the Alexandria database.

Computed properties:
- Formation energy (no corrections): -572 meV per atom

CIF file:
```
data_RbPb4S5
_chemical_formula_sum 'Rb2 Pb8 S10'
_space_group_name_H-M_alt 'C 1 2/m 1'
_space_group_IT_number 12
_space_group_name_Hall '-C 2y'
_cell_length_a 14.2281
_cell_length_b 4.2392
_cell_length_c 10.6674
_cell_angle_alpha 90.00
_cell_angle_beta 120.15
_cell_angle_gamma 90.00
loop_
_atom_site_label
_atom_site_fract_x
_atom_site_fract_y
_atom_site_fract_z
_atom_site_occupancy
Rb1 0.0000 0.0000 0.0000 1
Pb1 0.1007 0.5000 0.4029 1
Pb2 0.2030 0.0000 0.8014 1
S1 0.0000 0.0000 0.5000 1
S2 0.1147 0.5000 0.8860 1
S3 0.2034 0.0000 0.3231 1
```

=====

First-principles (GGA-PBE) data for Zr3Ag after structural relaxation, as listed in the Alexandria database.

Computed properties:
- ΔH_f (0 K): 0.1906 eV/atom

CIF file:
```
data_Zr3Ag
_chemical_formula_sum 'Zr3 Ag1'
_space_group_name_H-M_alt 'P m m 2'
_space_group_IT_number 25
_space_group_name_Hall 'P 2 -2'
_cell_length_a 3.0125
_cell_length_b 3.0621
_cell_length_c 9.8077
_cell_angle_alpha 90.00
_cell_angle_beta 90.00
_cell_angle_gamma 90.00
loop_
_atom_site_label
_atom_site_fract_x
_atom_site_fract_y
_atom_site_fract_z
_atom_site_occupancy
Zr1 0.0000 0.0000 0.0000 1
Zr2 0.0000 0.5000 0.2848 1
Zr3 0.5000 0.5000 0.7671 1
Ag1 0.5000 0.0000 0.5026 1
```

=====

First-principles (GGA-PBE) data for TbMgH6Rh2 after structural relaxation, as listed in the Alexandria database.

Computed properties:
- E_tot: -135.1 eV per cell

CIF file:
```
data_TbMgH6Rh2
_chemical_formula_sum 'Tb3 Mg3 H18 Rh6'
_space_group_name_H-M_alt 'R -3 m'
_space_group_IT_number 166
_space_group_name_Hall '-R 3 2"'
_cell_length_a 4.5601
_cell_length_b 4.5601
_cell_length_c 15.4714
_cell_angle_alpha 90.00
_cell_angle_beta 90.00
_cell_angle_gamma 120.00
loop_
_atom_site_label
_atom_site_fract_x
_atom_site_fract_y
_atom_site_fract_z
_atom_site_occupancy
Tb1 0.0000 0.0000 0.0000 1
Mg1 0.0000 0.0000 0.5000 1
H1 0.9995 0.4998 0.0601 1
Rh1 0.0000 0.0000 0.2093 1
```

=====

First-principles (GGA-PBE) data for Ce2DyCd after structural relaxation, as listed in the Alexandria database.

Computed properties:
- Excess energy over the best structure of this formula in the dataset: 249.0 meV/atom
- ΔH_f (0 K): 0.2245 eV/atom

CIF file:
```
data_Ce2DyCd
_chemical_formula_sum 'Ce6 Dy3 Cd3'
_space_group_name_H-M_alt 'R -3 m'
_space_group_IT_number 166
_space_group_name_Hall '-R 3 2"'
_cell_length_a 3.2976
_cell_length_b 3.2976
_cell_length_c 37.3615
_cell_angle_alpha 90.00
_cell_angle_beta 90.00
_cell_angle_gamma 120.00
loop_
_atom_site_label
_atom_site_fract_x
_atom_site_fract_y
_atom_site_fract_z
_atom_site_occupancy
Ce1 0.0000 0.0000 0.0885 1
Dy1 0.0000 0.0000 0.5000 1
Cd1 0.0000 0.0000 0.0000 1
```

=====

First-principles (GGA-PBE) data for Pm4SbS2 after structural relaxation, as listed in the Alexandria database.

Computed properties:
- Formation energy (no corrections): -1513 meV per atom

CIF file:
```
data_Pm4SbS2
_chemical_formula_sum 'Pm16 Sb4 S8'
_space_group_name_H-M_alt 'C m c m'
_space_group_IT_number 63
_space_group_name_Hall '-C 2c 2'
_cell_length_a 4.1764
_cell_length_b 13.3507
_cell_length_c 13.6669
_cell_angle_alpha 90.00
_cell_angle_beta 90.00
_cell_angle_gamma 90.00
loop_
_atom_site_label
_atom_site_fract_x
_atom_site_fract_y
_atom_site_fract_z
_atom_site_occupancy
Pm1 0.0000 0.0000 0.0000 1
Pm2 0.0000 0.2651 0.1153 1
Pm3 0.0000 0.4376 0.7500 1
Sb1 0.0000 0.1108 0.7500 1
S1 0.0000 0.3675 0.5602 1
```

=====

Record order is preserved below.
Theoretical density: 4.93 8.11 8.44 5.53 4.05 3.99 8.59 6.41 7.00 7.06 7.86 6.68 Mg/m³